No. 1
## KCd3Pt (GGA-PBE)

Data for a relaxed KCd3Pt crystal.

abc: 8.856 8.856 7.263
angles: 106.68 106.68 31.23
Positions (direct):
K: 0.108 0.108 0.163
K: 0.892 0.892 0.837
Cd: 0.225 0.225 0.640
Cd: 0.301 0.301 0.089
Cd: 0.479 0.479 0.288
Cd: 0.521 0.521 0.712
Cd: 0.699 0.699 0.911
Cd: 0.775 0.775 0.360
Pt: 0.359 0.359 0.485
Pt: 0.641 0.641 0.515

size of the total moment = 0.0 μB/cell
space-group type = C2/m
offset from the most stable computed form = 137 meV per atom
ΔH_f (0 K) = -11 kJ/mol of atoms
crystal system = monoclinic

---

No. 2
## La2TaSbN5 (GGA-PBE)

Data for a relaxed La2TaSbN5 crystal.

abc: 7.394 7.394 10.854
angles: 90.00 90.00 153.59
Positions (direct):
La: 0.126 0.874 0.500
La: 0.139 0.861 0.054
La: 0.861 0.139 0.554
La: 0.874 0.126 0.000
Ta: 0.230 0.770 0.784
Ta: 0.770 0.230 0.284
Sb: 0.489 0.511 0.251
Sb: 0.511 0.489 0.751
N: 0.068 0.932 0.825
N: 0.281 0.719 0.413
N: 0.295 0.705 0.157
N: 0.367 0.633 0.786
N: 0.499 0.501 0.567
N: 0.501 0.499 0.067
N: 0.633 0.367 0.286
N: 0.705 0.295 0.657
N: 0.719 0.281 0.913
N: 0.932 0.068 0.325

formation energy from raw total energies = -777 meV per atom
size of the total moment = 0.0 μB/cell
space-group type = Cmc2_1
crystal system = orthorhombic

---

No. 3
## LiTb4Tl (GGA-PBE)

Data for a relaxed LiTb4Tl crystal.

abc: 8.428 8.428 5.737
angles: 100.14 100.14 117.08
Positions (direct):
Li: 0.001 0.999 0.750
Li: 0.999 0.001 0.250
Tb: 0.098 0.701 0.443
Tb: 0.210 0.392 0.139
Tb: 0.299 0.902 0.057
Tb: 0.392 0.210 0.639
Tb: 0.608 0.790 0.361
Tb: 0.701 0.098 0.943
Tb: 0.790 0.608 0.861
Tb: 0.902 0.299 0.557
Tl: 0.390 0.610 0.750
Tl: 0.610 0.390 0.250

size of the total moment = 0.0 μB/cell
space-group type = C2/c
ΔH_f (0 K) = 1 kJ/mol of atoms
crystal system = monoclinic

---

No. 4
## HfAlO3 (GGA-PBE)

Data for a relaxed HfAlO3 crystal.

abc: 3.621 3.621 3.621
angles: 90.00 90.00 90.00
Positions (direct):
Hf: 0.000 0.000 0.000
Al: 0.500 0.500 0.500
O: 0.000 0.500 0.500
O: 0.500 0.000 0.500
O: 0.500 0.500 0.000

formation energy from raw total energies = -2397 meV per atom
size of the total moment = 0.0 μB/cell
space-group type = Pm-3m
crystal system = cubic

---

No. 5
## Ba2InBi2 (GGA-PBE)

Data for a relaxed Ba2InBi2 crystal.

abc: 9.634 9.634 9.254
angles: 90.00 90.00 149.56
Positions (direct):
Ba: 0.032 0.968 0.500
Ba: 0.203 0.797 0.142
Ba: 0.797 0.203 0.642
Ba: 0.968 0.032 0.000
In: 0.409 0.591 0.354
In: 0.591 0.409 0.854
Bi: 0.173 0.827 0.762
Bi: 0.439 0.561 0.710
Bi: 0.561 0.439 0.210
Bi: 0.827 0.173 0.262

size of the total moment = 0.0 μB/cell
space-group type = Cmc2_1
offset from the most stable computed form = 0 meV per atom
ΔH_f (0 K) = -66 kJ/mol of atoms
crystal system = orthorhombic

---

No. 6
## Pm6Pr3In (GGA-PBE)

Data for a relaxed Pm6Pr3In crystal.

abc: 11.044 5.407 12.321
angles: 90.00 93.53 90.00
Positions (direct):
Pm: 0.122 0.250 0.012
Pm: 0.132 0.750 0.809
Pm: 0.134 0.750 0.506
Pm: 0.353 0.250 0.815
Pm: 0.363 0.750 0.313
Pm: 0.371 0.750 0.020
Pm: 0.629 0.250 0.980
Pm: 0.637 0.250 0.687
Pm: 0.647 0.750 0.185
Pm: 0.866 0.250 0.494
Pm: 0.868 0.250 0.191
Pm: 0.878 0.750 0.988
Pr: 0.102 0.750 0.205
Pr: 0.381 0.250 0.516
Pr: 0.442 0.250 0.209
Pr: 0.558 0.750 0.791
Pr: 0.619 0.750 0.484
Pr: 0.898 0.250 0.795
In: 0.122 0.250 0.643
In: 0.878 0.750 0.357

size of the total moment = 0.0 μB/cell
space-group type = P2_1/m
offset from the most stable computed form = 185 meV per atom
ΔH_f (0 K) = 16 kJ/mol of atoms
crystal system = monoclinic